Entry 1:
LiTa2Rh after structural relaxation, computed with PBE.

Unit cell a=4.873 b=4.873 c=2.844 alpha=90.00 beta=90.00 gamma=110.42
Fractional positions:
Ta (0.000, 0.000, 0.000)
Ta (0.500, 0.500, 0.000)
Li (0.500, 0.000, 0.500)
Rh (0.000, 0.500, 0.500)

## Properties
As for the formation energy: 0.034 eV per atom. For the total moment, the calculation gives 0.000 Bohr magnetons per cell.

Entry 2:
LiZrPb2 after structural relaxation, computed with PBE.

Unit cell a=3.251 b=3.251 c=9.050 alpha=90.00 beta=90.00 gamma=90.00
Fractional positions:
Li (0.500, 0.500, 0.750)
Pb (0.000, 0.000, 0.506)
Pb (0.000, 0.000, 0.994)
Zr (0.500, 0.500, 0.250)

## Properties
As for the formation energy: -0.187 eV per atom. For the total moment, the calculation gives 0.000 Bohr magnetons per cell.

Entry 3:
AcGeAs after structural relaxation, computed with PBE.

Unit cell a=5.953 b=5.953 c=6.012 alpha=105.40 beta=105.40 gamma=117.61
Fractional positions:
As (0.089, 0.911, 0.500)
As (0.339, 0.661, 0.000)
Ac (0.727, 0.273, 0.500)
Ac (0.977, 0.023, 0.000)
Ge (0.340, 0.660, 0.500)
Ge (0.590, 0.410, 0.000)

## Properties
As for the formation energy: -0.641 eV per atom. For the total moment, the calculation gives 0.000 Bohr magnetons per cell.

Entry 4:
Nd2Y2Er after structural relaxation, computed with PBE.

Unit cell a=6.325 b=8.571 c=6.832 alpha=102.85 beta=90.00 gamma=111.65
Fractional positions:
Er (0.415, 0.000, 0.250)
Er (0.585, 0.000, 0.750)
Nd (0.819, 0.800, 0.055)
Nd (0.018, 0.200, 0.445)
Nd (0.982, 0.800, 0.555)
Nd (0.181, 0.200, 0.945)
Y (0.220, 0.601, 0.848)
Y (0.780, 0.399, 0.152)
Y (0.382, 0.601, 0.348)
Y (0.618, 0.399, 0.652)

## Properties
As for the formation energy: 0.016 eV per atom. For the total moment, the calculation gives 0.001 Bohr magnetons per cell.

Entry 5:
As2RuPb after structural relaxation, computed with PBE.

Unit cell a=9.161 b=9.161 c=9.161 alpha=20.36 beta=20.36 gamma=20.36
Fractional positions:
Ru (0.740, 0.740, 0.740)
As (0.254, 0.254, 0.254)
As (0.014, 0.014, 0.014)
Pb (0.492, 0.492, 0.492)

## Properties
As for the formation energy: 0.246 eV per atom. For the total moment, the calculation gives 0.000 Bohr magnetons per cell.

Entry 6:
Pr8Te4As3O after structural relaxation, computed with PBE.

Unit cell a=8.548 b=8.864 c=8.548 alpha=118.83 beta=120.00 gamma=90.00
Fractional positions:
Pr (0.740, 0.721, 0.480)
Pr (0.754, 0.708, 0.981)
Pr (0.773, 0.292, 0.019)
Pr (0.260, 0.279, 0.520)
Pr (0.773, 0.292, 0.546)
Pr (0.227, 0.708, 0.981)
Pr (0.246, 0.292, 0.019)
Pr (0.227, 0.708, 0.454)
Te (0.000, 0.000, 0.000)
Te (0.500, 0.000, 0.000)
Te (0.500, 0.000, 0.500)
Te (0.000, 0.000, 0.500)
As (0.500, 0.500, 0.000)
As (0.500, 0.500, 0.500)
As (0.000, 0.500, 0.500)
O (0.000, 0.500, 0.000)

## Properties
As for the raw formation energy: -1593.0 meV per atom. For the total moment, the calculation gives 0.000 Bohr magnetons per cell.